Record 1
First-principles (PBE) data for Tl2InHg after structural relaxation, as listed in Alexandria.

Cell lengths 10.8157, 10.8157, 10.8157 Å; angles 18.87, 18.87, 18.87 degrees
With the nearest neighbours (Å) after each atom.
Atoms (fractional coordinates):
Tl  0.2505  0.2505  0.2505  3 Hg 3.34, 3 In 3.36, 6 Tl 3.55
Tl  0.7495  0.7495  0.7495  3 Hg 3.34, 3 In 3.36, 6 Tl 3.55
In  0.5000  0.5000  0.5000  6 Tl 3.36, 6 In 3.55
Hg  0.0000  0.0000  0.0000  6 Tl 3.34, 6 Hg 3.55

Calculated values
Formation energy from the elements ... 0.021 eV/atom
Offset from the most stable computed form ... 20 meV per atom
DOS(E_F) ... 0.447 states/eV per atom


Record 2
First-principles (PBE) data for Tl8InHg5 after structural relaxation, as listed in Alexandria.

Cell lengths 8.2109, 8.2109, 8.2109 Å; angles 109.62, 109.62, 109.18 degrees
With the nearest neighbours (Å) after each atom.
Atoms (fractional coordinates):
Tl  0.1226  0.7190  0.7538  5 Hg 3.19-3.35, 1 In 3.34
Tl  0.1332  0.2282  0.7541  5 Hg 3.22-3.39, 1 In 3.24, 2 Tl 3.53-3.58
Tl  0.2810  0.0348  0.4036  5 Hg 3.19-3.35, 1 In 3.34
Tl  0.4741  0.3791  0.2459  5 Hg 3.22-3.39, 1 In 3.24, 2 Tl 3.53-3.58
Tl  0.6209  0.8668  0.0950  5 Hg 3.22-3.39, 1 In 3.24, 2 Tl 3.53-3.58
Tl  0.6312  0.8774  0.5964  5 Hg 3.19-3.35, 1 In 3.34
Tl  0.7718  0.5259  0.9050  5 Hg 3.22-3.39, 1 In 3.24, 2 Tl 3.53-3.58
Tl  0.9652  0.3688  0.2462  5 Hg 3.19-3.35, 1 In 3.34
In  0.7500  0.2500  0.5000  8 Tl 3.24-3.34
Hg  0.0000  0.0000  0.0000  8 Tl 3.19-3.39
Hg  0.2461  0.6266  0.1301  8 Tl 3.20-3.36
Hg  0.3734  0.5034  0.6195  8 Tl 3.20-3.36
Hg  0.4966  0.1160  0.8699  8 Tl 3.20-3.36
Hg  0.8840  0.7539  0.3805  8 Tl 3.20-3.36

Calculated values
Formation energy from the elements ... 0.020 eV/atom
DOS(E_F) ... 0.506 states/eV per atom


Record 3
First-principles (PBE) data for TlIn8Hg6 after structural relaxation, as listed in Alexandria.

Cell lengths 8.5623, 8.5623, 8.5623 Å; angles 58.98, 58.98, 58.98 degrees
With the nearest neighbours (Å) after each atom.
Atoms (fractional coordinates):
Tl  0.0000  0.0000  0.0000  6 Hg 3.25
In  0.1271  0.7930  0.4334  4 Hg 3.01-3.13
In  0.2070  0.5666  0.8729  4 Hg 3.01-3.13
In  0.3375  0.3375  0.3375  6 Hg 3.08-3.12
In  0.4334  0.1271  0.7930  4 Hg 3.01-3.13
In  0.5666  0.8729  0.2070  4 Hg 3.01-3.13
In  0.6625  0.6625  0.6625  6 Hg 3.08-3.12
In  0.7930  0.4334  0.1271  4 Hg 3.01-3.13
In  0.8729  0.2070  0.5666  4 Hg 3.01-3.13
Hg  0.0567  0.4194  0.7255  6 In 3.01-3.13, 1 Tl 3.25
Hg  0.2745  0.9433  0.5806  6 In 3.01-3.13, 1 Tl 3.25
Hg  0.4194  0.7255  0.0567  6 In 3.01-3.13, 1 Tl 3.25
Hg  0.5806  0.2745  0.9433  6 In 3.01-3.13, 1 Tl 3.25
Hg  0.7255  0.0567  0.4194  6 In 3.01-3.13, 1 Tl 3.25
Hg  0.9433  0.5806  0.2745  6 In 3.01-3.13, 1 Tl 3.25

Calculated values
Formation energy from the elements ... 0.029 eV/atom
DOS(E_F) ... 0.410 states/eV per atom


Record 4
First-principles (PBE) data for Tl3In2Hg5 after structural relaxation, as listed in Alexandria.

Cell lengths 5.5219, 5.6498, 9.8347 Å; angles 99.61, 93.72, 108.04 degrees
With the nearest neighbours (Å) after each atom.
Atoms (fractional coordinates):
Tl  0.0000  0.0000  0.0000  8 Hg 3.29-3.53, 2 Tl 3.44
Tl  0.0970  0.1954  0.6886  6 Hg 3.25-3.54, 3 In 3.32-3.44, 1 Tl 3.44
Tl  0.9030  0.8046  0.3114  6 Hg 3.25-3.54, 3 In 3.32-3.44, 1 Tl 3.44
In  0.2247  0.4216  0.3882  4 Hg 3.12-3.48, 3 Tl 3.32-3.44, 1 In 3.42
In  0.7753  0.5784  0.6118  4 Hg 3.12-3.48, 3 Tl 3.32-3.44, 1 In 3.42
Hg  0.3135  0.6119  0.0929  5 Hg 3.18-3.55, 1 In 3.28, 4 Tl 3.29-3.54
Hg  0.3995  0.7995  0.7926  4 Hg 3.18-3.48, 2 In 3.22-3.52, 4 Tl 3.25-3.53
Hg  0.5000  0.0000  0.5000  4 In 3.12-3.48, 2 Hg 3.28, 4 Tl 3.31-3.43
Hg  0.6005  0.2005  0.2074  4 Hg 3.18-3.48, 2 In 3.22-3.52, 4 Tl 3.25-3.53
Hg  0.6865  0.3881  0.9071  5 Hg 3.18-3.55, 1 In 3.28, 4 Tl 3.29-3.54

Calculated values
Formation energy from the elements ... 0.003 eV/atom
Offset from the most stable computed form ... 0 meV per atom
DOS(E_F) ... 0.310 states/eV per atom